No. 1
ThH6Rh4 after structural relaxation. Source: the Alexandria database, functional GGA-PBE.

Values from the calculation:
crystal system = triclinic
DOS at the Fermi energy = 4.16 states/eV/f.u.

abc: 4.955 5.279 5.305
angles: 62.35 67.66 80.73
Space group P1 (No. 1)
Inequivalent atoms, fractional coordinates:
Th 0.000 0.000 0.000
H 0.157 0.553 0.328
H 0.404 0.567 0.589
H 0.417 0.175 0.250
H 0.620 0.581 0.842
H 0.621 0.207 0.565
H 0.931 0.508 0.070
Rh 0.018 0.607 0.671
Rh 0.020 0.213 0.402
Rh 0.516 0.895 0.559
Rh 0.542 0.531 0.229

No. 2
Co3BiB after structural relaxation. Source: the Alexandria database, functional GGA-PBE.

Values from the calculation:
energy of formation = 2354 meV/atom
crystal system = cubic
E above lowest polymorph = 2196 meV per atom
DOS at the Fermi energy = 13.29 states/eV/f.u.

abc: 4.851 4.851 4.851
angles: 90.00 90.00 90.00
Space group Pm-3m (No. 221)
Inequivalent atoms, fractional coordinates:
Co 0.000 0.000 0.500
Bi 0.000 0.000 0.000
B 0.500 0.500 0.500

No. 3
LaHo8Sc4 after structural relaxation. Source: the Alexandria database, functional GGA-PBE.

Values from the calculation:
energy of formation = 230 meV/atom
crystal system = trigonal
DOS at the Fermi energy = 18.63 states/eV/f.u.

abc: 7.1123 7.1123 26.2778
angles: 90.00 90.00 120.00
Space group R-3m (No. 166, hexagonal axes)
Inequivalent atoms, fractional coordinates:
La 0.0000 0.0000 0.0000
Ho 0.0000 0.0000 0.2794
Ho 0.0330 0.5165 0.2645
Sc 0.0000 0.0000 0.5000
Sc 0.0000 0.5000 0.5000

no.,electronic total energy (eV/atom),size of the total moment (μB/atom)
1,-5.446,0.000
2,-4.022,1.004
3,-4.914,0.001